No. 1
# PBE-GGA AlGaTcRh2, relaxed
data_AlGaTcRh2
_chemical_formula_sum 'Al1 Ga1 Tc1 Rh2'
_cell_length_a 4.684
_cell_length_b 4.761
_cell_length_c 4.684
_cell_angle_alpha 90.00
_cell_angle_beta 90.00
_cell_angle_gamma 90.00
_space_group_name_H-M_alt 'P 1'
_space_group_IT_number 1
loop_
_space_group_symop_operation_xyz
'x,y,z'
loop_
_atom_site_label
_atom_site_type_symbol
_atom_site_fract_x
_atom_site_fract_y
_atom_site_fract_z
_atom_site_occupancy
Rh1 Rh 0.000 0.000 0.500 1
Rh2 Rh 0.500 0.000 0.000 1
Tc1 Tc 0.000 0.000 0.000 1
Ga1 Ga 0.000 0.500 0.000 1
Al1 Al 0.500 0.500 0.500 1
# Space-group type: P4/mmm (123)
# Formation energy from the elements, eV/f.u.: 4.5
# Energy, eV/atom: -5.460

---

No. 2
# PBE-GGA Th2AlGaRh6, relaxed
data_Th2AlGaRh6
_chemical_formula_sum 'Th2 Al1 Ga1 Rh6'
_cell_length_a 6.446
_cell_length_b 6.448
_cell_length_c 6.448
_cell_angle_alpha 59.99
_cell_angle_beta 59.99
_cell_angle_gamma 90.00
_space_group_name_H-M_alt 'P 1'
_space_group_IT_number 1
loop_
_space_group_symop_operation_xyz
'x,y,z'
loop_
_atom_site_label
_atom_site_type_symbol
_atom_site_fract_x
_atom_site_fract_y
_atom_site_fract_z
_atom_site_occupancy
Th1 Th 0.250 0.750 0.500 1
Th2 Th 0.750 0.250 0.500 1
Al1 Al 0.500 0.500 0.000 1
Ga1 Ga 0.000 0.000 0.000 1
Rh1 Rh 0.252 0.748 0.000 1
Rh2 Rh 0.748 0.748 0.000 1
Rh3 Rh 0.252 0.252 0.495 1
Rh4 Rh 0.748 0.252 0.000 1
Rh5 Rh 0.252 0.252 0.000 1
Rh6 Rh 0.748 0.748 0.505 1
# Space-group type: Fm-3m (225)
# Formation energy from the elements, eV/f.u.: -5.0
# Energy, eV/atom: -7.073

---

No. 3
# PBE-GGA Th2AlGa3Rh4, relaxed
data_Th2AlGa3Rh4
_chemical_formula_sum 'Th2 Al1 Ga3 Rh4'
_cell_length_a 4.286
_cell_length_b 4.286
_cell_length_c 10.161
_cell_angle_alpha 90.00
_cell_angle_beta 90.00
_cell_angle_gamma 90.00
_space_group_name_H-M_alt 'P 1'
_space_group_IT_number 1
loop_
_space_group_symop_operation_xyz
'x,y,z'
loop_
_atom_site_label
_atom_site_type_symbol
_atom_site_fract_x
_atom_site_fract_y
_atom_site_fract_z
_atom_site_occupancy
Th1 Th 0.500 0.000 0.242 1
Th2 Th 0.000 0.500 0.758 1
Al1 Al 0.500 0.500 0.500 1
Ga1 Ga 0.000 0.000 0.500 1
Ga2 Ga 0.500 0.000 0.874 1
Ga3 Ga 0.000 0.500 0.126 1
Rh1 Rh 0.500 0.500 0.000 1
Rh2 Rh 0.000 0.000 0.000 1
Rh3 Rh 0.500 0.000 0.631 1
Rh4 Rh 0.000 0.500 0.369 1
# Space-group type: P-4m2 (115)
# Formation energy from the elements, eV/f.u.: -8.4
# Energy, eV/atom: -6.546

---

No. 4
# PBE-GGA Th2Al2Ga4Rh, relaxed
data_Th2Al2Ga4Rh
_chemical_formula_sum 'Th2 Al2 Ga4 Rh1'
_cell_length_a 6.300
_cell_length_b 6.300
_cell_length_c 6.300
_cell_angle_alpha 90.88
_cell_angle_beta 119.49
_cell_angle_gamma 119.49
_space_group_name_H-M_alt 'P 1'
_space_group_IT_number 1
loop_
_space_group_symop_operation_xyz
'x,y,z'
loop_
_atom_site_label
_atom_site_type_symbol
_atom_site_fract_x
_atom_site_fract_y
_atom_site_fract_z
_atom_site_occupancy
Th1 Th 0.500 0.750 0.250 1
Th2 Th 0.500 0.250 0.750 1
Al1 Al 0.000 0.717 0.717 1
Al2 Al 0.000 0.283 0.283 1
Ga1 Ga 0.000 0.716 0.284 1
Ga2 Ga 0.432 0.716 0.716 1
Ga3 Ga 0.000 0.284 0.716 1
Ga4 Ga 0.568 0.284 0.284 1
Rh1 Rh 0.000 0.000 0.000 1
# Space-group type: I4/mmm (139)
# Formation energy from the elements, eV/f.u.: -5.5
# Energy, eV/atom: -5.251

---

No. 5
# PBE-GGA ThAl2GaRh2, relaxed
data_ThAl2GaRh2
_chemical_formula_sum 'Th1 Al2 Ga1 Rh2'
_cell_length_a 4.572
_cell_length_b 4.572
_cell_length_c 5.718
_cell_angle_alpha 90.00
_cell_angle_beta 90.00
_cell_angle_gamma 90.00
_space_group_name_H-M_alt 'P 1'
_space_group_IT_number 1
loop_
_space_group_symop_operation_xyz
'x,y,z'
loop_
_atom_site_label
_atom_site_type_symbol
_atom_site_fract_x
_atom_site_fract_y
_atom_site_fract_z
_atom_site_occupancy
Th1 Th 0.000 0.000 0.500 1
Al1 Al 0.500 0.500 0.748 1
Al2 Al 0.500 0.500 0.252 1
Ga1 Ga 0.000 0.000 0.000 1
Rh1 Rh 0.500 0.000 0.000 1
Rh2 Rh 0.000 0.500 0.000 1
# Space-group type: P4/mmm (123)
# Formation energy from the elements, eV/f.u.: -2.3
# Energy, eV/atom: -5.827

---

No. 6
# PBE-GGA Th2Al2GaRh5, relaxed
data_Th2Al2GaRh5
_chemical_formula_sum 'Th4 Al4 Ga2 Rh10'
_cell_length_a 3.589
_cell_length_b 9.951
_cell_length_c 9.951
_cell_angle_alpha 90.00
_cell_angle_beta 90.00
_cell_angle_gamma 90.00
_space_group_name_H-M_alt 'P 1'
_space_group_IT_number 1
loop_
_space_group_symop_operation_xyz
'x,y,z'
loop_
_atom_site_label
_atom_site_type_symbol
_atom_site_fract_x
_atom_site_fract_y
_atom_site_fract_z
_atom_site_occupancy
Th1 Th 0.000 0.679 0.179 1
Th2 Th 0.000 0.321 0.821 1
Th3 Th 0.000 0.179 0.321 1
Th4 Th 0.000 0.821 0.679 1
Al1 Al 0.000 0.119 0.619 1
Al2 Al 0.000 0.881 0.381 1
Al3 Al 0.000 0.619 0.881 1
Al4 Al 0.000 0.381 0.119 1
Ga1 Ga 0.000 0.000 0.000 1
Ga2 Ga 0.000 0.500 0.500 1
Rh1 Rh 0.500 0.209 0.067 1
Rh2 Rh 0.500 0.791 0.933 1
Rh3 Rh 0.500 0.067 0.791 1
Rh4 Rh 0.500 0.709 0.433 1
Rh5 Rh 0.500 0.933 0.209 1
Rh6 Rh 0.500 0.291 0.567 1
Rh7 Rh 0.500 0.567 0.709 1
Rh8 Rh 0.500 0.433 0.291 1
Rh9 Rh 0.500 0.500 0.000 1
Rh10 Rh 0.500 0.000 0.500 1
# Space-group type: P4/mbm (127)
# Formation energy from the elements, eV/f.u.: -7.9
# Energy, eV/atom: -7.000

---

No. 7
# PBE-GGA Ti3Al3GaRh2, relaxed
data_Ti3Al3GaRh2
_chemical_formula_sum 'Ti3 Al3 Ga1 Rh2'
_cell_length_a 2.878
_cell_length_b 7.447
_cell_length_c 7.447
_cell_angle_alpha 120.00
_cell_angle_beta 90.00
_cell_angle_gamma 90.00
_space_group_name_H-M_alt 'P 1'
_space_group_IT_number 1
loop_
_space_group_symop_operation_xyz
'x,y,z'
loop_
_atom_site_label
_atom_site_type_symbol
_atom_site_fract_x
_atom_site_fract_y
_atom_site_fract_z
_atom_site_occupancy
Ti1 Ti 0.500 0.699 0.000 1
Ti2 Ti 0.500 0.000 0.699 1
Ti3 Ti 0.500 0.301 0.301 1
Al1 Al 0.000 0.632 0.632 1
Al2 Al 0.000 0.000 0.368 1
Al3 Al 0.000 0.368 0.000 1
Ga1 Ga 0.000 0.000 0.000 1
Rh1 Rh 0.500 0.667 0.333 1
Rh2 Rh 0.500 0.333 0.667 1
# Space-group type: P-62m (189)
# Formation energy from the elements, eV/f.u.: -5.1
# Energy, eV/atom: -6.411

---

No. 8
# PBE-GGA TiAlGaRh, relaxed
data_TiAlGaRh
_chemical_formula_sum 'Ti1 Al1 Ga1 Rh1'
_cell_length_a 2.952
_cell_length_b 3.990
_cell_length_c 5.904
_cell_angle_alpha 109.75
_cell_angle_beta 90.00
_cell_angle_gamma 90.00
_space_group_name_H-M_alt 'P 1'
_space_group_IT_number 1
loop_
_space_group_symop_operation_xyz
'x,y,z'
loop_
_atom_site_label
_atom_site_type_symbol
_atom_site_fract_x
_atom_site_fract_y
_atom_site_fract_z
_atom_site_occupancy
Ti1 Ti 0.500 0.284 0.568 1
Al1 Al 0.000 0.947 0.894 1
Ga1 Ga 0.000 0.694 0.387 1
Rh1 Rh 0.500 0.506 0.012 1
# Space-group type: Amm2 (38)
# Formation energy from the elements, eV/f.u.: -2.1
# Energy, eV/atom: -6.027

---

No. 9
# PBE-GGA Tm2Al2GaRh5, relaxed
data_Tm2Al2GaRh5
_chemical_formula_sum 'Tm4 Al4 Ga2 Rh10'
_cell_length_a 3.359
_cell_length_b 9.882
_cell_length_c 9.882
_cell_angle_alpha 90.00
_cell_angle_beta 90.00
_cell_angle_gamma 90.00
_space_group_name_H-M_alt 'P 1'
_space_group_IT_number 1
loop_
_space_group_symop_operation_xyz
'x,y,z'
loop_
_atom_site_label
_atom_site_type_symbol
_atom_site_fract_x
_atom_site_fract_y
_atom_site_fract_z
_atom_site_occupancy
Tm1 Tm 0.000 0.673 0.173 1
Tm2 Tm 0.000 0.327 0.827 1
Tm3 Tm 0.000 0.173 0.327 1
Tm4 Tm 0.000 0.827 0.673 1
Al1 Al 0.000 0.127 0.627 1
Al2 Al 0.000 0.873 0.373 1
Al3 Al 0.000 0.627 0.873 1
Al4 Al 0.000 0.373 0.127 1
Ga1 Ga 0.000 0.000 0.000 1
Ga2 Ga 0.000 0.500 0.500 1
Rh1 Rh 0.500 0.201 0.066 1
Rh2 Rh 0.500 0.799 0.934 1
Rh3 Rh 0.500 0.066 0.799 1
Rh4 Rh 0.500 0.701 0.434 1
Rh5 Rh 0.500 0.934 0.201 1
Rh6 Rh 0.500 0.299 0.566 1
Rh7 Rh 0.500 0.566 0.701 1
Rh8 Rh 0.500 0.434 0.299 1
Rh9 Rh 0.500 0.500 0.000 1
Rh10 Rh 0.500 0.000 0.500 1
# Space-group type: P4/mbm (127)
# Formation energy from the elements, eV/f.u.: -8.9
# Energy, eV/atom: -6.511

---

No. 10
# PBE-GGA AlVGa2Rh, relaxed
data_AlVGa2Rh
_chemical_formula_sum 'Al1 V1 Ga2 Rh1'
_cell_length_a 4.821
_cell_length_b 4.422
_cell_length_c 4.821
_cell_angle_alpha 90.00
_cell_angle_beta 90.00
_cell_angle_gamma 90.00
_space_group_name_H-M_alt 'P 1'
_space_group_IT_number 1
loop_
_space_group_symop_operation_xyz
'x,y,z'
loop_
_atom_site_label
_atom_site_type_symbol
_atom_site_fract_x
_atom_site_fract_y
_atom_site_fract_z
_atom_site_occupancy
Rh1 Rh 0.000 0.500 0.000 1
Al1 Al 0.500 0.500 0.500 1
Ga1 Ga 0.000 0.000 0.500 1
Ga2 Ga 0.500 0.000 0.000 1
V1 V 0.000 0.000 0.000 1
# Space-group type: P4/mmm (123)
# Formation energy from the elements, eV/f.u.: 3.0
# Energy, eV/atom: -4.647

---

No. 11
# PBE-GGA AlGaRhW2, relaxed
data_AlGaRhW2
_chemical_formula_sum 'Al1 Ga1 Rh1 W2'
_cell_length_a 4.774
_cell_length_b 4.538
_cell_length_c 4.774
_cell_angle_alpha 90.00
_cell_angle_beta 90.00
_cell_angle_gamma 90.00
_space_group_name_H-M_alt 'P 1'
_space_group_IT_number 1
loop_
_space_group_symop_operation_xyz
'x,y,z'
loop_
_atom_site_label
_atom_site_type_symbol
_atom_site_fract_x
_atom_site_fract_y
_atom_site_fract_z
_atom_site_occupancy
Rh1 Rh 0.000 0.000 0.000 1
Ga1 Ga 0.000 0.500 0.000 1
W1 W 0.000 0.000 0.500 1
W2 W 0.500 0.000 0.000 1
Al1 Al 0.500 0.500 0.500 1
# Space-group type: P4/mmm (123)
# Formation energy from the elements, eV/f.u.: 7.0
# Energy, eV/atom: -6.614

---

No. 12
# PBE-GGA Y2AlGa2Rh5, relaxed
data_Y2AlGa2Rh5
_chemical_formula_sum 'Y4 Al2 Ga4 Rh10'
_cell_length_a 3.455
_cell_length_b 9.868
_cell_length_c 9.868
_cell_angle_alpha 90.00
_cell_angle_beta 90.00
_cell_angle_gamma 90.00
_space_group_name_H-M_alt 'P 1'
_space_group_IT_number 1
loop_
_space_group_symop_operation_xyz
'x,y,z'
loop_
_atom_site_label
_atom_site_type_symbol
_atom_site_fract_x
_atom_site_fract_y
_atom_site_fract_z
_atom_site_occupancy
Y1 Y 0.000 0.673 0.173 1
Y2 Y 0.000 0.327 0.827 1
Y3 Y 0.000 0.173 0.327 1
Y4 Y 0.000 0.827 0.673 1
Al1 Al 0.000 0.000 0.000 1
Al2 Al 0.000 0.500 0.500 1
Ga1 Ga 0.000 0.127 0.627 1
Ga2 Ga 0.000 0.873 0.373 1
Ga3 Ga 0.000 0.627 0.873 1
Ga4 Ga 0.000 0.373 0.127 1
Rh1 Rh 0.500 0.200 0.065 1
Rh2 Rh 0.500 0.800 0.935 1
Rh3 Rh 0.500 0.065 0.800 1
Rh4 Rh 0.500 0.700 0.435 1
Rh5 Rh 0.500 0.935 0.200 1
Rh6 Rh 0.500 0.300 0.565 1
Rh7 Rh 0.500 0.565 0.700 1
Rh8 Rh 0.500 0.435 0.300 1
Rh9 Rh 0.500 0.500 0.000 1
Rh10 Rh 0.500 0.000 0.500 1
# Space-group type: P4/mbm (127)
# Formation energy from the elements, eV/f.u.: -8.3
# Energy, eV/atom: -6.778